#one
Ta2Tl2W | PBE-GGA | relaxed

Output
Space group: I4/mmm
Magnetic moment: 0.00 μB per formula unit
Crystal system: tetragonal

Unit cell a=7.6298 b=7.6298 c=7.6298 alpha=150.81 beta=150.81 gamma=41.75
Closest atoms and distances in Å follow each position.
Sites, in units of the cell vectors:
Ta1 0.2500 0.7500 0.5000  4 Ta 2.72, 4 Tl 2.92
Ta2 0.7500 0.2500 0.5000  4 Ta 2.72, 4 Tl 2.92
Tl1 0.0962 0.0962 0.0000  1 Tl 2.74, 4 Ta 2.92, 4 W 3.04
Tl2 0.9038 0.9038 0.0000  1 Tl 2.74, 4 Ta 2.92, 4 W 3.04
W1 0.5000 0.5000 0.0000  8 Tl 3.04

#two
Ta2Tl2W | PBE-GGA | relaxed

Output
Space group: P4/mbm
Magnetic moment: 0.00 μB per formula unit
Crystal system: tetragonal

Unit cell a=7.2771 b=7.2771 c=3.7386 alpha=90.00 beta=90.00 gamma=90.00
Closest atoms and distances in Å follow each position.
Sites, in units of the cell vectors:
Ta1 0.1659 0.3341 0.0000  6 Tl 2.75-2.90
Ta2 0.3341 0.8341 0.0000  6 Tl 2.75-2.90
Ta3 0.6659 0.1659 0.0000  6 Tl 2.75-2.90
Ta4 0.8341 0.6659 0.0000  6 Tl 2.75-2.90
Tl1 0.1383 0.6383 0.5000  6 Ta 2.75-2.90, 2 W 2.82, 1 Tl 2.85
Tl2 0.3617 0.1383 0.5000  6 Ta 2.75-2.90, 2 W 2.82, 1 Tl 2.85
Tl3 0.6383 0.8617 0.5000  6 Ta 2.75-2.90, 2 W 2.82, 1 Tl 2.85
Tl4 0.8617 0.3617 0.5000  6 Ta 2.75-2.90, 2 W 2.82, 1 Tl 2.85
W1 0.0000 0.0000 0.5000  4 Tl 2.82
W2 0.5000 0.5000 0.5000  4 Tl 2.82

Which of them is least stable? Easy: #one.

#one
TaTlW2 | PBE-GGA | relaxed

Output
Space group: P4/mmm
Magnetic moment: 0.00 μB per formula unit
Crystal system: tetragonal

Unit cell a=2.8154 b=2.8154 c=9.3344 alpha=90.00 beta=90.00 gamma=90.00
Closest atoms and distances in Å follow each position.
Sites, in units of the cell vectors:
Ta1 0.0000 0.0000 0.0000  4 Ta 2.82, 8 W 3.00
Tl1 0.0000 0.0000 0.5000  4 Tl 2.82, 8 W 3.14
W1 0.5000 0.5000 0.2397  4 W 2.82, 4 Ta 3.00, 4 Tl 3.14
W2 0.5000 0.5000 0.7603  4 W 2.82, 4 Ta 3.00, 4 Tl 3.14

#two
TaTlW2 | PBE-GGA | relaxed

Output
Space group: Pm
Magnetic moment: 0.00 μB per formula unit
Crystal system: monoclinic

Unit cell a=2.8758 b=4.4350 c=5.8150 alpha=90.00 beta=99.34 gamma=90.00
Closest atoms and distances in Å follow each position.
Sites, in units of the cell vectors:
Ta1 0.0000 0.0000 0.0000  3 W 2.67-2.82, 2 Ta 2.88
Tl1 0.5699 0.5000 0.2747  2 Tl 2.88, 6 W 2.89-3.15, 4 Ta 3.05-3.10
W1 0.1255 0.0000 0.5555  1 Ta 2.67, 4 W 2.71-2.88
W2 0.5348 0.5000 0.7682  4 W 2.71-2.88, 2 Ta 2.82, 2 Tl 2.89-2.93

#three
TaTlW2 | PBE-GGA | relaxed

Output
Space group: I-42d
Magnetic moment: 0.00 μB per formula unit
Crystal system: tetragonal

Unit cell a=6.0615 b=6.0615 c=6.0615 alpha=102.21 beta=102.21 gamma=125.24
Closest atoms and distances in Å follow each position.
Sites, in units of the cell vectors:
Ta1 0.0000 0.0000 0.0000  4 W 2.63, 2 Tl 2.79
Ta2 0.7500 0.2500 0.5000  4 W 2.63, 2 Tl 2.79
Tl1 0.2500 0.7500 0.5000  2 Ta 2.79, 4 W 2.94
Tl2 0.5000 0.5000 0.0000  2 Ta 2.79, 4 W 2.94
W1 0.0950 0.6250 0.9700  2 Ta 2.63, 2 W 2.82, 2 Tl 2.94
W2 0.3750 0.3450 0.4700  2 Ta 2.63, 2 W 2.82, 2 Tl 2.94
W3 0.6550 0.1250 0.0300  2 Ta 2.63, 2 W 2.82, 2 Tl 2.94
W4 0.8750 0.9050 0.5300  2 Ta 2.63, 2 W 2.82, 2 Tl 2.94

#four
TaTlW2 | PBE-GGA | relaxed

Output
Space group: Immm
Magnetic moment: 0.00 μB per formula unit
Crystal system: orthorhombic

Unit cell a=5.4438 b=5.4438 c=5.4438 alpha=143.99 beta=129.71 gamma=63.40
Closest atoms and distances in Å follow each position.
Sites, in units of the cell vectors:
Ta1 0.0000 0.0000 0.0000  4 W 2.76, 4 Tl 2.86
Tl1 0.5000 0.5000 0.0000  4 Ta 2.86, 8 W 2.97-3.19
W1 0.2364 0.7364 0.5000  2 Ta 2.76, 4 W 2.87, 2 Tl 2.97
W2 0.7636 0.2636 0.5000  2 Ta 2.76, 4 W 2.87, 2 Tl 2.97

Which of them is least stable? Easy: #three.

#one
Ta3TlW | PBE-GGA | relaxed

Output
Space group: Pm-3m
Magnetic moment: 0.00 μB per formula unit
Crystal system: cubic

Unit cell a=4.9607 b=4.9607 c=4.9607 alpha=90.00 beta=90.00 gamma=90.00
Closest atoms and distances in Å follow each position.
Sites, in units of the cell vectors:
Ta1 0.0000 0.0000 0.5000  2 Tl 2.48
Ta2 0.0000 0.5000 0.0000  2 Tl 2.48
Ta3 0.5000 0.0000 0.0000  2 Tl 2.48
Tl1 0.0000 0.0000 0.0000  6 Ta 2.48
W1 0.5000 0.5000 0.5000  12 Ta 3.51

#two
Ta3TlW | PBE-GGA | relaxed

Output
Space group: Pm-3m
Magnetic moment: 0.00 μB per formula unit
Crystal system: cubic

Unit cell a=4.9101 b=4.9101 c=4.9101 alpha=90.00 beta=90.00 gamma=90.00
Closest atoms and distances in Å follow each position.
Sites, in units of the cell vectors:
Ta1 0.0000 0.0000 0.5000  2 W 2.46
Ta2 0.0000 0.5000 0.0000  2 W 2.46
Ta3 0.5000 0.0000 0.0000  2 W 2.46
Tl1 0.5000 0.5000 0.5000  12 Ta 3.47
W1 0.0000 0.0000 0.0000  6 Ta 2.46

Which of them is least stable? Easy: #one.

#one
Y2TaTl | PBE-GGA | relaxed

Output
Space group: C2/m
Magnetic moment: 0.01 μB per formula unit
Crystal system: monoclinic

Unit cell a=5.5167 b=5.5167 c=6.0100 alpha=100.32 beta=100.32 gamma=34.62
Closest atoms and distances in Å follow each position.
Sites, in units of the cell vectors:
Y1 0.2459 0.2459 0.2443  3 Ta 3.18-3.29, 3 Tl 3.25-3.27, 6 Y 3.28-3.47
Y2 0.7541 0.7541 0.7557  3 Ta 3.18-3.29, 3 Tl 3.25-3.27, 6 Y 3.28-3.47
Ta1 0.5000 0.5000 0.0000  6 Y 3.18-3.29, 2 Ta 3.28, 4 Tl 3.42
Tl1 0.0000 0.0000 0.5000  6 Y 3.25-3.27, 2 Tl 3.28, 4 Ta 3.42

#two
Y2TaTl | PBE-GGA | relaxed

Output
Space group: I4/mmm
Magnetic moment: 0.00 μB per formula unit
Crystal system: tetragonal

Unit cell a=5.7041 b=5.7041 c=5.7041 alpha=132.34 beta=132.34 gamma=69.69
Closest atoms and distances in Å follow each position.
Sites, in units of the cell vectors:
Y1 0.2500 0.7500 0.5000  4 Y 3.26, 4 Tl 3.28, 4 Ta 3.28
Y2 0.7500 0.2500 0.5000  4 Y 3.26, 4 Tl 3.28, 4 Ta 3.28
Ta1 0.0000 0.0000 0.0000  4 Tl 3.26, 8 Y 3.28
Tl1 0.5000 0.5000 0.0000  4 Ta 3.26, 8 Y 3.28

Which of them is least stable? Easy: #one.

#one
Y2TaTl | PBE-GGA | relaxed

Output
Space group: Imm2
Magnetic moment: 0.00 μB per formula unit
Crystal system: orthorhombic

Unit cell a=6.5119 b=6.5119 c=6.5119 alpha=150.22 beta=130.24 gamma=59.08
Closest atoms and distances in Å follow each position.
Sites, in units of the cell vectors:
Y1 0.0000 0.0000 0.0000  2 Ta 3.17, 4 Tl 3.26, 2 Y 3.35
Y2 0.7047 0.2047 0.5000  4 Ta 3.23, 2 Tl 3.32, 4 Y 3.35-3.59
Ta1 0.2372 0.7372 0.5000  2 Tl 2.95, 6 Y 3.17-3.23
Tl1 0.4514 0.4514 0.0000  2 Ta 2.95, 4 Y 3.26

#two
Y2TaTl | PBE-GGA | relaxed

Output
Space group: R-3m
Magnetic moment: 0.00 μB per formula unit
Crystal system: trigonal

Unit cell a=10.6162 b=10.6162 c=10.6162 alpha=18.37 beta=18.37 gamma=18.37
Closest atoms and distances in Å follow each position.
Sites, in units of the cell vectors:
Y1 0.2463 0.2463 0.2463  3 Ta 3.17, 3 Tl 3.36, 6 Y 3.39
Y2 0.7537 0.7537 0.7537  3 Ta 3.17, 3 Tl 3.36, 6 Y 3.39
Ta1 0.5000 0.5000 0.5000  6 Y 3.17, 6 Ta 3.39
Tl1 0.0000 0.0000 0.0000  6 Y 3.36, 6 Tl 3.39

#three
Y2TaTl | PBE-GGA | relaxed

Output
Space group: I-42d
Magnetic moment: 0.00 μB per formula unit
Crystal system: tetragonal

Unit cell a=6.6277 b=6.6277 c=6.6277 alpha=102.73 beta=102.73 gamma=124.02
Closest atoms and distances in Å follow each position.
Sites, in units of the cell vectors:
Y1 0.1222 0.6250 0.9972  2 Ta 3.01, 2 Tl 3.04, 2 Y 3.11
Y2 0.3750 0.3722 0.4972  2 Ta 3.01, 2 Tl 3.04, 2 Y 3.11
Y3 0.6278 0.1250 0.0028  2 Ta 3.01, 2 Tl 3.04, 2 Y 3.11
Y4 0.8750 0.8778 0.5028  2 Ta 3.01, 2 Tl 3.04, 2 Y 3.11
Ta1 0.0000 0.0000 0.0000  4 Y 3.01, 2 Tl 3.11
Ta2 0.7500 0.2500 0.5000  4 Y 3.01, 2 Tl 3.11
Tl1 0.2500 0.7500 0.5000  4 Y 3.04, 2 Ta 3.11
Tl2 0.5000 0.5000 0.0000  4 Y 3.04, 2 Ta 3.11

#four
Y2TaTl | PBE-GGA | relaxed

Output
Space group: Pmm2
Magnetic moment: 0.00 μB per formula unit
Crystal system: orthorhombic

Unit cell a=3.2422 b=5.3606 c=5.7715 alpha=90.00 beta=90.00 gamma=90.00
Closest atoms and distances in Å follow each position.
Sites, in units of the cell vectors:
Y1 0.0000 0.0000 0.0000  4 Tl 3.18-3.44, 4 Y 3.24-3.40, 4 Ta 3.25
Y2 0.0000 0.5000 0.3638  4 Ta 3.23-3.39, 4 Y 3.24-3.40, 4 Tl 3.27
Ta1 0.5000 0.5000 0.8482  8 Y 3.23-3.39, 2 Ta 3.24, 2 Tl 3.26
Tl1 0.5000 0.0000 0.5261  8 Y 3.18-3.44, 2 Tl 3.24, 2 Ta 3.26

Which of them is least stable? Easy: #three.

#one
Y2TaTl | PBE-GGA | relaxed

Output
Space group: Cm
Magnetic moment: 0.00 μB per formula unit
Crystal system: monoclinic

Unit cell a=6.0729 b=6.0729 c=5.5947 alpha=105.03 beta=105.03 gamma=31.07
Closest atoms and distances in Å follow each position.
Sites, in units of the cell vectors:
Y1 0.0000 0.0000 0.0000  4 Ta 3.22-3.35, 3 Y 3.25-3.48, 3 Tl 3.26-3.29
Y2 0.2010 0.2010 0.6409  3 Ta 3.25-3.28, 3 Y 3.25-3.48, 4 Tl 3.27-3.31
Ta1 0.4519 0.4519 0.4863  2 Tl 3.00, 7 Y 3.22-3.35, 2 Ta 3.25
Tl1 0.7539 0.7539 0.1665  2 Ta 3.00, 2 Tl 3.25, 7 Y 3.26-3.31

#two
Y2TaTl | PBE-GGA | relaxed

Output
Space group: R3m
Magnetic moment: 0.63 μB per formula unit
Crystal system: trigonal

Unit cell a=10.8754 b=10.8754 c=10.8754 alpha=17.71 beta=17.71 gamma=17.71
Closest atoms and distances in Å follow each position.
Sites, in units of the cell vectors:
Y1 0.0000 0.0000 0.0000  3 Tl 3.34, 9 Y 3.35-3.67
Y2 0.2363 0.2363 0.2363  3 Ta 3.12, 6 Y 3.35
Ta1 0.4935 0.4935 0.4935  3 Tl 3.10, 3 Y 3.12, 6 Ta 3.35
Tl1 0.7513 0.7513 0.7513  3 Ta 3.10, 3 Y 3.34, 6 Tl 3.35

#three
Y2TaTl | PBE-GGA | relaxed

Output
Space group: P4/mmm
Magnetic moment: 0.00 μB per formula unit
Crystal system: tetragonal

Unit cell a=4.7171 b=4.7171 c=4.4547 alpha=90.00 beta=90.00 gamma=90.00
Closest atoms and distances in Å follow each position.
Sites, in units of the cell vectors:
Y1 0.0000 0.5000 0.0000  4 Ta 3.24, 4 Tl 3.24, 4 Y 3.34
Y2 0.5000 0.0000 0.0000  4 Ta 3.24, 4 Tl 3.24, 4 Y 3.34
Ta1 0.0000 0.0000 0.5000  8 Y 3.24, 4 Tl 3.34
Tl1 0.5000 0.5000 0.5000  8 Y 3.24, 4 Ta 3.34

#four
Y2TaTl | PBE-GGA | relaxed

Output
Space group: I-4m2
Magnetic moment: 0.00 μB per formula unit
Crystal system: tetragonal

Unit cell a=5.7988 b=5.7988 c=5.7988 alpha=134.02 beta=134.02 gamma=67.06
Closest atoms and distances in Å follow each position.
Sites, in units of the cell vectors:
Y1 0.0000 0.0000 0.0000  4 Tl 3.20, 4 Y 3.31, 4 Ta 3.31
Y2 0.7500 0.2500 0.5000  4 Ta 3.20, 4 Tl 3.31, 4 Y 3.31
Ta1 0.2500 0.7500 0.5000  8 Y 3.20-3.31, 4 Tl 3.31
Tl1 0.5000 0.5000 0.0000  8 Y 3.20-3.31, 4 Ta 3.31

Which of them is least stable? Easy: #two.

#one
Y2TaTl | PBE-GGA | relaxed

Output
Space group: P4/mmm
Magnetic moment: 0.00 μB per formula unit
Crystal system: tetragonal

Unit cell a=3.2597 b=3.2597 c=9.5409 alpha=90.00 beta=90.00 gamma=90.00
Closest atoms and distances in Å follow each position.
Sites, in units of the cell vectors:
Y1 0.0000 0.0000 0.2350  4 Ta 3.22, 4 Y 3.26, 4 Tl 3.42
Y2 0.0000 0.0000 0.7650  4 Ta 3.22, 4 Y 3.26, 4 Tl 3.42
Ta1 0.5000 0.5000 0.0000  8 Y 3.22, 4 Ta 3.26
Tl1 0.5000 0.5000 0.5000  4 Tl 3.26, 8 Y 3.42

#two
Y2TaTl | PBE-GGA | relaxed

Output
Space group: P4mm
Magnetic moment: 0.00 μB per formula unit
Crystal system: tetragonal

Unit cell a=3.2767 b=3.2767 c=9.6177 alpha=90.00 beta=90.00 gamma=90.00
Closest atoms and distances in Å follow each position.
Sites, in units of the cell vectors:
Y1 0.0000 0.0000 0.0000  4 Tl 3.26, 4 Y 3.28
Y2 0.5000 0.5000 0.3161  4 Ta 3.20, 4 Y 3.28
Ta1 0.0000 0.0000 0.5457  4 Tl 3.11, 4 Y 3.20, 4 Ta 3.28
Tl1 0.5000 0.5000 0.7617  4 Ta 3.11, 4 Y 3.26, 4 Tl 3.28

#three
Y2TaTl | PBE-GGA | relaxed

Output
Space group: F-43m
Magnetic moment: 0.00 μB per formula unit
Crystal system: cubic

Unit cell a=5.1626 b=5.1626 c=5.1626 alpha=60.00 beta=60.00 gamma=60.00
Closest atoms and distances in Å follow each position.
Sites, in units of the cell vectors:
Y1 0.0000 0.0000 0.0000  4 Tl 3.16, 4 Y 3.16
Y2 0.2500 0.2500 0.2500  4 Ta 3.16, 4 Y 3.16
Ta1 0.5000 0.5000 0.5000  4 Tl 3.16, 4 Y 3.16
Tl1 0.7500 0.7500 0.7500  4 Ta 3.16, 4 Y 3.16

#four
Y2TaTl | PBE-GGA | relaxed

Output
Space group: Fm-3m
Magnetic moment: 2.56 μB per formula unit
Crystal system: cubic

Unit cell a=5.2554 b=5.2554 c=5.2554 alpha=60.00 beta=60.00 gamma=60.00
Closest atoms and distances in Å follow each position.
Sites, in units of the cell vectors:
Y1 0.2500 0.2500 0.2500  4 Tl 3.22, 4 Ta 3.22
Y2 0.7500 0.7500 0.7500  4 Tl 3.22, 4 Ta 3.22
Ta1 0.0000 0.0000 0.0000  8 Y 3.22
Tl1 0.5000 0.5000 0.5000  8 Y 3.22

Which of them is least stable? Easy: #three.

#one
YTa2Tl | PBE-GGA | relaxed

Output
Space group: Imm2
Magnetic moment: 0.00 μB per formula unit
Crystal system: orthorhombic

Unit cell a=5.6208 b=5.6208 c=5.6208 alpha=140.30 beta=127.70 gamma=67.61
Closest atoms and distances in Å follow each position.
Sites, in units of the cell vectors:
Y1 0.0000 0.0000 0.0000  8 Ta 3.07-3.36, 4 Tl 3.16-3.28
Ta1 0.5333 0.5333 0.0000  2 Ta 2.73
Ta2 0.7428 0.2428 0.5000  2 Ta 2.73
Tl1 0.2700 0.7700 0.5000  8 Ta 3.11-3.32, 4 Y 3.16-3.28

#two
YTa2Tl | PBE-GGA | relaxed

Output
Space group: I-42d
Magnetic moment: 0.00 μB per formula unit
Crystal system: tetragonal

Unit cell a=6.4679 b=6.4679 c=6.4679 alpha=101.36 beta=101.36 gamma=127.31
Closest atoms and distances in Å follow each position.
Sites, in units of the cell vectors:
Y1 0.0000 0.0000 0.0000  2 Tl 2.87, 4 Ta 3.13
Y2 0.7500 0.2500 0.5000  2 Tl 2.87, 4 Ta 3.13
Ta1 0.1499 0.6250 0.0249  2 Tl 2.85, 2 Ta 2.90, 2 Y 3.13
Ta2 0.3750 0.3999 0.5249  2 Tl 2.85, 2 Ta 2.90, 2 Y 3.13
Ta3 0.6001 0.1250 0.9751  2 Tl 2.85, 2 Ta 2.90, 2 Y 3.13
Ta4 0.8750 0.8501 0.4751  2 Tl 2.85, 2 Ta 2.90, 2 Y 3.13
Tl1 0.2500 0.7500 0.5000  4 Ta 2.85, 2 Y 2.87
Tl2 0.5000 0.5000 0.0000  4 Ta 2.85, 2 Y 2.87

Which of them is least stable? Easy: #two.

#one
YTa2Tl | PBE-GGA | relaxed

Output
Space group: Cm
Magnetic moment: 0.00 μB per formula unit
Crystal system: monoclinic

Unit cell a=5.1684 b=5.1684 c=5.8981 alpha=96.81 beta=96.81 gamma=35.01
Closest atoms and distances in Å follow each position.
Sites, in units of the cell vectors:
Y1 0.0000 0.0000 0.0000  5 Ta 3.02-3.33, 3 Tl 3.05-3.17, 2 Y 3.11
Ta1 0.2334 0.2334 0.7142  5 Ta 2.90-3.11, 1 Y 3.02, 2 Tl 3.11
Ta2 0.4922 0.4922 0.5276  5 Ta 2.90-3.11, 3 Tl 3.09-3.16, 2 Y 3.18
Tl1 0.7520 0.7520 0.2629  3 Y 3.05-3.17, 5 Ta 3.09-3.16, 2 Tl 3.11

#two
YTa2Tl | PBE-GGA | relaxed

Output
Space group: I4/mmm
Magnetic moment: 0.00 μB per formula unit
Crystal system: tetragonal

Unit cell a=5.7249 b=5.7249 c=5.7249 alpha=136.44 beta=136.44 gamma=63.31
Closest atoms and distances in Å follow each position.
Sites, in units of the cell vectors:
Y1 0.0000 0.0000 0.0000  4 Tl 3.00, 8 Ta 3.23
Ta1 0.2500 0.7500 0.5000  4 Ta 3.00, 4 Tl 3.23, 4 Y 3.23
Ta2 0.7500 0.2500 0.5000  4 Ta 3.00, 4 Tl 3.23, 4 Y 3.23
Tl1 0.5000 0.5000 0.0000  4 Y 3.00, 8 Ta 3.23

Which of them is least stable? Easy: #one.